Hf2VPb2 after structural relaxation, computed with PBE.

Cell lengths 7.362, 7.362, 4.109 Å; angles 90.00, 90.00, 90.00 degrees
Space group P4/mbm (No. 127)
Unique sites:
Hf  0.159  0.341  0.000 (multiplicity 4)
V  0.000  0.000  0.500 (multiplicity 2)
Pb  0.147  0.647  0.500 (multiplicity 4)

Summary:
- Formation energy: 0.29 eV/atom
- N(E_F): 0.698 states/eV/atom
- Calculated total energy: -0.2573 hartree per atom

---

NpZnH2O6 after structural relaxation, computed with PBE.

Cell lengths 5.095, 5.128, 5.548 Å; angles 63.81, 67.40, 65.52 degrees
Space group P-1 (No. 2)
Unique sites:
Np  0.000  0.000  0.000 (multiplicity 1)
Zn  0.500  0.500  0.500 (multiplicity 1)
H  0.400  0.226  0.280 (multiplicity 2)
O  0.121  0.354  0.763 (multiplicity 2)
O  0.237  0.904  0.236 (multiplicity 2)
O  0.416  0.741  0.737 (multiplicity 2)

Summary:
- N(E_F): 0.755 states/eV/atom
- Calculated total energy: -0.2440 hartree per atom

---

Tb12Pr5Tm2 after structural relaxation, computed with PBE.

Cell lengths 18.195, 8.378, 9.001 Å; angles 90.00, 110.22, 90.00 degrees
Space group C2/m (No. 12)
Unique sites:
Tb  0.016  0.000  0.179 (multiplicity 4)
Tb  0.053  0.500  0.669 (multiplicity 4)
Tb  0.136  0.302  0.361 (multiplicity 8)
Tb  0.151  0.264  0.961 (multiplicity 8)
Pr  0.000  0.500  0.000 (multiplicity 2)
Pr  0.198  0.000  0.688 (multiplicity 4)
Pr  0.249  0.500  0.726 (multiplicity 4)
Tm  0.000  0.174  0.500 (multiplicity 4)

Summary:
- Formation energy: 0.21 eV/atom
- N(E_F): 1.422 states/eV/atom
- Calculated total energy: -0.1633 hartree per atom

---

AgC2 after structural relaxation, computed with PBE.

Cell lengths 5.220, 5.220, 5.220 Å; angles 90.00, 90.00, 90.00 degrees
Space group Pa-3 (No. 205)
Unique sites:
Ag  0.000  0.000  0.000 (multiplicity 4)
C  0.073  0.573  0.927 (multiplicity 8)

Summary:
- Energy above the lowest structure with this stoichiometry: 1305 meV/atom
- Formation energy: 1.64 eV/atom
- N(E_F): 0.705 states/eV/atom
- Calculated total energy: -0.2007 hartree per atom

---

Sr2ThTaN4 after structural relaxation, computed with PBE.

Cell lengths 6.074, 3.478, 6.280 Å; angles 90.00, 108.42, 90.00 degrees
Space group P2/m (No. 10)
Unique sites:
Sr  0.000  0.000  0.000 (multiplicity 1)
Sr  0.500  0.500  0.000 (multiplicity 1)
Th  0.000  0.500  0.500 (multiplicity 1)
Ta  0.500  0.000  0.500 (multiplicity 1)
N  0.270  0.000  0.698 (multiplicity 2)
N  0.288  0.500  0.302 (multiplicity 2)

Summary:
- Raw formation energy: -1.112 eV/atom
- N(E_F): 0.281 states/eV/atom
- Calculated total energy: -0.2978 hartree per atom

---

Cr3P after structural relaxation, computed with PBE.

Cell lengths 4.461, 4.461, 4.461 Å; angles 90.00, 90.00, 90.00 degrees
Space group Pm-3n (No. 223)
Unique sites:
Cr  0.000  0.250  0.500 (multiplicity 6)
P  0.000  0.000  0.000 (multiplicity 2)

Summary:
- Energy above the lowest structure with this stoichiometry: 1 meV/atom
- Formation energy: -0.36 eV/atom
- N(E_F): 0.749 states/eV/atom
- Calculated total energy: -0.3282 hartree per atom

---

Cs2Pu2MgS6 after structural relaxation, computed with PBE.

Cell lengths 6.871, 11.920, 8.493 Å; angles 90.00, 105.12, 90.00 degrees
Space group C2/m (No. 12)
Unique sites:
Cs  0.000  0.164  0.000 (multiplicity 4)
Pu  0.000  0.334  0.500 (multiplicity 4)
Mg  0.000  0.000  0.500 (multiplicity 2)
S  0.223  0.168  0.672 (multiplicity 8)
S  0.223  0.500  0.671 (multiplicity 4)

Summary:
- Raw formation energy: -1.410 eV/atom
- N(E_F): 1.258 states/eV/atom
- Calculated total energy: -0.2414 hartree per atom

---

Pm4ZnIn3 after structural relaxation, computed with PBE.

Cell lengths 3.707, 3.707, 16.023 Å; angles 90.00, 90.00, 90.00 degrees
Space group P4/mmm (No. 123)
Unique sites:
Pm  0.000  0.000  0.111 (multiplicity 2)
Pm  0.000  0.000  0.370 (multiplicity 2)
Zn  0.500  0.500  0.000 (multiplicity 1)
In  0.500  0.500  0.239 (multiplicity 2)
In  0.500  0.500  0.500 (multiplicity 1)

Summary:
- Energy above the lowest structure with this stoichiometry: 0 meV/atom
- Formation energy: -0.46 eV/atom
- N(E_F): 0.654 states/eV/atom
- Calculated total energy: -0.1476 hartree per atom

---

Tm2GaCl after structural relaxation, computed with PBE.

Cell lengths 4.0412, 4.0412, 21.5778 Å; angles 90.00, 90.00, 120.00 degrees
Space group R3m (No. 160, hexagonal axes)
Unique sites:
Tm  0.0000  0.0000  0.0000 (multiplicity 3)
Tm  0.0000  0.0000  0.1924 (multiplicity 3)
Ga  0.0000  0.0000  0.5960 (multiplicity 3)
Cl  0.0000  0.0000  0.7700 (multiplicity 3)

Summary:
- Energy above the lowest structure with this stoichiometry: 91 meV/atom
- Raw formation energy: -0.767 eV/atom
- N(E_F): 0.855 states/eV/atom
- Calculated total energy: -0.1551 hartree per atom

---

Question: Among the records above, which one has the lowest calculated total energy?
Answer: Cr3P